This record from the Alexandria database describes an optimized crystal structure of SrCa7Ti2Mn6O20. The functional is PBE with a Hubbard U.

Lattice parameters (Å, degrees): 7.7148 7.9372 7.9378 89.42 89.86 89.44
Element x y z (fractional)
Sr 0.0000 0.0000 0.0000
Ca 0.0584 0.4824 0.3984
Ca 0.0598 0.9568 0.4663
Ca 0.0676 0.4917 0.9647
Ca 0.4907 0.9993 0.9525
Ca 0.4961 0.0238 0.3989
Ca 0.4962 0.4954 0.3988
Ca 0.5302 0.4809 0.9712
Ti 0.7876 0.6897 0.7126
Ti 0.7925 0.2580 0.6867
Mn 0.2700 0.2425 0.1796
Mn 0.2708 0.7481 0.2032
Mn 0.2740 0.2406 0.6856
Mn 0.3103 0.7362 0.6947
Mn 0.7680 0.2452 0.2404
Mn 0.7677 0.7420 0.2322
O 0.0069 0.2142 0.6137
O 0.0178 0.7098 0.1621
O 0.0241 0.2888 0.1788
O 0.2349 0.9854 0.2284
O 0.2495 0.1930 0.9282
O 0.2522 0.6958 0.4533
O 0.2950 0.2861 0.4337
O 0.3020 0.4836 0.7538
O 0.3053 0.5129 0.1514
O 0.3266 0.9951 0.6525
O 0.5150 0.2127 0.1546
O 0.5226 0.7988 0.1900
O 0.5742 0.7478 0.8008
O 0.6589 0.2614 0.4992
O 0.7223 0.5116 0.1920
O 0.7353 0.1098 0.8482
O 0.7896 0.6706 0.4871
O 0.8026 0.4679 0.8008
O 0.8096 0.9759 0.2821
O 0.9955 0.7797 0.7700

Computed properties:
**VASP energy**: -7.2547 eV per atom
**Magnetization**: 13.98 μB/cell